Compound: WI2OF
Source: the Alexandria database
Functional: PBE with a Hubbard U
Structure: optimized geometry

Output
VASP energy: -12.40 eV/cell
ρ: 7403 kg/m³

Cell and atoms, written as CIF:
```
data_WI2OF
_cell_length_a 5.200
_cell_length_b 5.200
_cell_length_c 3.920
_cell_angle_alpha 90.00
_cell_angle_beta 90.00
_cell_angle_gamma 90.00
_space_group_name_H-M_alt 'P 4/m m m'
_space_group_IT_number 123
_space_group_name_Hall '-P 4 2'
loop_
_atom_site_label
_atom_site_fract_x
_atom_site_fract_y
_atom_site_fract_z
W1 0.000 0.000 0.000
I1 0.000 0.500 0.500
O1 0.500 0.500 0.000
F1 0.500 0.500 0.500
```